Compound: CaPtCl2
Source: Alexandria via LeMat-Bulk
Functional: meta-GGA SCAN
Structure: single point on PBEsol structure

Output
**Uncorrected formation energy**: -0.717 eV per atom
**Magnetization**: 0.00 μB per atom
**Distance to the lowest polymorph of the same formula**: 142 meV/atom

Cell: 3.301 3.301 6.925 Å, 90.00 90.00 90.00°
Element x y z (fractional)
Ca: 0.000 0.000 0.000
Pt: 0.000 0.000 0.500
Cl: 0.500 0.500 0.225
Cl: 0.500 0.500 0.775

---

Compound: CaPtCl2
Source: Alexandria via LeMat-Bulk
Functional: meta-GGA SCAN
Structure: single point on PBEsol structure

Output
**Uncorrected formation energy**: -0.858 eV per atom
**Magnetization**: 0.00 μB per atom
**Distance to the lowest polymorph of the same formula**: 0 meV/atom

Cell: 4.719 4.719 4.719 Å, 60.00 60.00 60.00°
Element x y z (fractional)
Ca: 0.000 0.000 0.000
Pt: 0.500 0.500 0.500
Cl: 0.250 0.250 0.250
Cl: 0.750 0.750 0.750

---

Compound: Ca2PtCl
Source: Alexandria via LeMat-Bulk
Functional: meta-GGA SCAN
Structure: single point on PBEsol structure

Output
**Uncorrected formation energy**: -1.378 eV per atom
**Magnetization**: 0.00 μB per atom
**Distance to the lowest polymorph of the same formula**: 119 meV/atom

Cell: 7.847 7.847 7.847 Å, 153.51 152.72 38.39°
Element x y z (fractional)
Ca: 0.000 0.000 0.000
Ca: 0.776 0.276 0.500
Pt: 0.361 0.861 0.500
Cl: 0.607 0.607 0.000

---

Repeat the second record exactly.
Compound: CaPtCl2
Source: Alexandria via LeMat-Bulk
Functional: meta-GGA SCAN
Structure: single point on PBEsol structure

Output
**Uncorrected formation energy**: -0.858 eV per atom
**Magnetization**: 0.00 μB per atom
**Distance to the lowest polymorph of the same formula**: 0 meV/atom

Cell: 4.719 4.719 4.719 Å, 60.00 60.00 60.00°
Element x y z (fractional)
Ca: 0.000 0.000 0.000
Pt: 0.500 0.500 0.500
Cl: 0.250 0.250 0.250
Cl: 0.750 0.750 0.750

---

Which formula does entry 2 have?
CaPtCl2

---

magnetization of number 2 (CaPtCl2)?
0.00 μB per atom